The following is a DFT calculation (meta-GGA SCAN) of CdCo2Au at its PBEsol-relaxed geometry.

Its total energy is -33.37 eV/atom. As for the calculated formation energy: 177 meV/atom.

The space group is P4/mmm (No. 123) and the conventional cell measures 3.8818, 3.8818 and 3.7522 Å, with angles of 90.00, 90.00 and 90.00 degrees. The inequivalent atoms are Cd at (0.0000, 0.0000, 0.0000), Co at (0.0000, 0.5000, 0.5000) and Au at (0.5000, 0.5000, 0.0000).